(1)
VASP calculation (GGA-PBE) on a relaxed Na5Tl2In4 crystal.

Cell: 7.6831 15.9248 5.2042 Å, 90.00 90.00 90.00°
Fractional coordinates of all 22 atoms:
Na (0.0000, 0.0000, 0.0000)
Na (0.1163, 0.4162, 0.0000)
Na (0.2259, 0.1963, 0.0000)
Na (0.2741, 0.6963, 0.0000)
Na (0.3837, 0.9162, 0.0000)
Na (0.5000, 0.5000, 0.0000)
Na (0.6163, 0.0838, 0.0000)
Na (0.7259, 0.3037, 0.0000)
Na (0.7741, 0.8037, 0.0000)
Na (0.8837, 0.5838, 0.0000)
Tl (0.0444, 0.3037, 0.5000)
Tl (0.4556, 0.8037, 0.5000)
Tl (0.5444, 0.1963, 0.5000)
Tl (0.9556, 0.6963, 0.5000)
In (0.0786, 0.8780, 0.5000)
In (0.2082, 0.5431, 0.5000)
In (0.2918, 0.0431, 0.5000)
In (0.4214, 0.3780, 0.5000)
In (0.5786, 0.6220, 0.5000)
In (0.7082, 0.9569, 0.5000)
In (0.7918, 0.4569, 0.5000)
In (0.9214, 0.1220, 0.5000)

Values from the calculation:
* energy above the most stable polymorph in this dataset: 0 meV/atom
* formation enthalpy at 0 K: -0.072 eV per atom
* electronic total energy: -0.0771 Ha/atom



(2)
VASP calculation (GGA-PBE) on a relaxed Na6Tl3In crystal.

Cell: 12.6359 3.4545 14.5122 Å, 90.00 109.65 90.00°
Fractional coordinates of all 20 atoms:
Na (0.0989, 0.2500, 0.2010)
Na (0.1526, 0.7500, 0.7780)
Na (0.2448, 0.2500, 0.6011)
Na (0.2887, 0.7500, 0.4016)
Na (0.3559, 0.7500, 0.1937)
Na (0.3620, 0.2500, 0.9803)
Na (0.6380, 0.7500, 0.0197)
Na (0.6441, 0.2500, 0.8063)
Na (0.7113, 0.2500, 0.5984)
Na (0.7552, 0.7500, 0.3989)
Na (0.8474, 0.2500, 0.2220)
Na (0.9011, 0.7500, 0.7990)
Tl (0.0356, 0.7500, 0.4130)
Tl (0.1204, 0.7500, 0.0009)
Tl (0.4858, 0.7500, 0.6044)
Tl (0.5142, 0.2500, 0.3956)
Tl (0.8796, 0.2500, 0.9991)
Tl (0.9644, 0.2500, 0.5870)
In (0.4177, 0.7500, 0.8012)
In (0.5823, 0.2500, 0.1988)

Values from the calculation:
* energy above the most stable polymorph in this dataset: 35 meV/atom
* formation enthalpy at 0 K: -0.063 eV per atom
* electronic total energy: -0.0676 Ha/atom



(3)
VASP calculation (GGA-PBE) on a relaxed Na3Tl8In4 crystal.

Cell: 9.0055 9.0055 6.7156 Å, 111.70 111.70 89.55°
Fractional coordinates of all 15 atoms:
Na (0.0000, 0.0000, 0.0000)
Na (0.0000, 0.5000, 0.5000)
Na (0.5000, 0.0000, 0.5000)
Tl (0.2551, 0.7449, 0.0000)
Tl (0.2570, 0.2570, 0.0074)
Tl (0.2629, 0.2629, 0.5038)
Tl (0.3558, 0.6442, 0.5000)
Tl (0.6442, 0.3558, 0.5000)
Tl (0.7371, 0.7371, 0.4962)
Tl (0.7430, 0.7430, 0.9926)
Tl (0.7449, 0.2551, 0.0000)
In (0.0000, 0.0000, 0.5000)
In (0.0000, 0.5000, 0.0000)
In (0.5000, 0.0000, 0.0000)
In (0.5000, 0.5000, 0.0000)

Values from the calculation:
* formation enthalpy at 0 K: 0.041 eV per atom
* electronic total energy: -0.0814 Ha/atom